(1)
This record from the Alexandria database describes a geometry-optimized PuTl3Sb2Se6 structure. The functional is GGA-PBE.

POSCAR file:
```
PuTl3Sb2Se6
1.0
7.361 0.003 0.002
-3.676 6.377 0.002
-1.227 -2.124 7.613
Sb Se Pu Tl
2 6 1 3
direct
0.334 0.666 0.000
0.666 0.334 0.000
0.734 0.734 0.207
0.931 0.596 0.792
0.404 0.069 0.208
0.069 0.404 0.208
0.596 0.931 0.792
0.266 0.266 0.793
0.000 0.000 0.000
0.500 0.500 0.500
0.166 0.834 0.500
0.834 0.166 0.500
```

Calculated volume ... 357.51 Å³/cell
Density of states at the Fermi level ... 12.96 states/eV per cell
Uncorrected formation energy ... -588.1 meV/atom

=====

(2)
This record from the Alexandria database describes a geometry-optimized AlCrTeI2 structure. The functional is GGA-PBE.

POSCAR file:
```
AlCrTeI2
1.0
-0.519 -5.232 1.621
4.482 -1.341 -2.895
3.164 1.053 4.412
I Te Cr Al
2 1 1 1
direct
0.000 0.500 0.000
0.500 0.000 0.000
0.000 0.000 0.500
0.500 0.500 0.500
0.000 0.000 0.000
```

Calculated volume ... 167.38 Å³/cell
Polymorph energy (0 for the lowest one) ... 0.208 eV per atom
Density of states at the Fermi level ... 4.52 states/eV per cell
Uncorrected formation energy ... 375.0 meV/atom

=====

(3)
This record from the Alexandria database describes a geometry-optimized Zn3PtO3 structure. The functional is GGA-PBE.

POSCAR file:
```
Zn3PtO3
1.0
-1.976 5.149 -1.418
-3.687 -0.221 4.335
3.864 2.423 3.411
Zn O Pt
6 6 2
direct
0.750 0.000 0.500
0.500 0.250 0.000
0.000 0.500 0.250
0.000 0.500 0.750
0.250 0.000 0.500
0.500 0.750 0.000
0.500 0.000 0.250
0.000 0.750 0.500
0.000 0.250 0.500
0.250 0.500 0.000
0.750 0.500 0.000
0.500 0.000 0.750
0.000 0.000 0.000
0.500 0.500 0.500
```

Calculated volume ... 184.71 Å³/cell
Density of states at the Fermi level ... 17.37 states/eV per cell
Uncorrected formation energy ... -614.5 meV/atom

=====

(4)
This record from the Alexandria database describes a geometry-optimized GdHfZnTc structure. The functional is GGA-PBE.

POSCAR file:
```
GdHfZnTc
1.0
-3.791 -1.110 -2.737
-2.971 -3.536 1.329
-4.442 1.036 1.514
Hf Zn Tc Gd
1 1 1 1
direct
0.250 0.250 0.250
0.500 0.500 0.500
0.000 0.000 0.000
0.750 0.750 0.750
```

ΔH_f (0 K) ... -0.15 eV/atom
Calculated volume ... 78.49 Å³/cell
Density of states at the Fermi level ... 3.90 states/eV per cell

=====

(5)
This record from the Alexandria database describes a geometry-optimized Y2PaH8 structure. The functional is GGA-PBE.

POSCAR file:
```
Y2PaH8
1.0
3.398 0.000 -1.034
-0.817 4.728 -2.685
0.064 0.399 6.312
H Y Pa
8 2 1
direct
0.664 0.421 0.327
0.336 0.094 0.673
0.852 0.852 0.705
0.000 0.272 0.000
0.336 0.579 0.673
0.148 0.148 0.295
0.664 0.906 0.327
0.000 0.728 0.000
0.832 0.332 0.665
0.168 0.668 0.335
0.500 0.000 0.000
```

Energy ... -54.893 eV per formula unit
Calculated volume ... 105.70 Å³/cell
Density of states at the Fermi level ... 6.77 states/eV per cell

=====

(6)
This record from the Alexandria database describes a geometry-optimized Tl5SnSe4 structure. The functional is GGA-PBE.

POSCAR file:
```
Tl5SnSe4
1.0
-4.177 -1.106 0.389
1.241 -6.480 -5.094
3.611 -2.045 8.768
Tl Sn Se
5 1 4
direct
0.158 0.791 0.316
0.842 0.209 0.684
0.500 0.500 0.000
0.192 0.319 0.383
0.808 0.681 0.617
0.500 0.000 0.000
0.025 0.248 0.051
0.658 0.044 0.316
0.342 0.956 0.684
0.975 0.752 0.949
```

Calculated volume ... 321.37 Å³/cell
Polymorph energy (0 for the lowest one) ... 0.000 eV per atom
Density of states at the Fermi level ... 3.35 states/eV per cell
Uncorrected formation energy ... -361.0 meV/atom

=====

(7)
This record from the Alexandria database describes a geometry-optimized Sr2W structure. The functional is GGA-PBE.

POSCAR file:
```
Sr2W
1.0
6.064 0.000 0.000
-3.032 5.251 0.000
0.000 0.000 11.464
W Sr
4 8
direct
0.333 0.667 0.996
0.667 0.333 0.004
0.667 0.333 0.496
0.333 0.667 0.504
0.000 0.000 0.500
0.653 0.827 0.250
0.173 0.827 0.250
0.827 0.653 0.750
0.000 0.000 0.000
0.827 0.173 0.750
0.347 0.173 0.750
0.173 0.347 0.250
```

ΔH_f (0 K) ... 1.99 eV/atom
Calculated volume ... 365.07 Å³/cell
Polymorph energy (0 for the lowest one) ... 1.369 eV per atom
Density of states at the Fermi level ... 16.96 states/eV per cell

=====

(8)
This record from the Alexandria database describes a geometry-optimized CoC3 structure. The functional is GGA-PBE.

POSCAR file:
```
CoC3
1.0
5.122 0.000 0.000
4.511 2.426 0.000
4.511 1.136 2.143
C Co
3 1
direct
0.232 0.232 0.232
0.500 0.500 0.500
0.768 0.768 0.768
0.000 0.000 0.000
```

ΔH_f (0 K) ... 1.74 eV/atom
Calculated volume ... 26.63 Å³/cell
Polymorph energy (0 for the lowest one) ... 1.124 eV per atom
Density of states at the Fermi level ... 2.41 states/eV per cell